Record 1
Computed, not measured: a relaxed YSc2Mo crystal at the PBE-GGA level of DFT.

Cell and atoms, written as CIF:
```
data_YSc2Mo
_space_group_name_H-M_alt 'P 1'
_space_group_IT_number 1
_cell_length_a 3.419
_cell_length_b 3.419
_cell_length_c 7.956
_cell_angle_alpha 90.00
_cell_angle_beta 90.00
_cell_angle_gamma 90.00
loop_
_space_group_symop_operation_xyz
'x,y,z'
loop_
_atom_site_label
_atom_site_type_symbol
_atom_site_fract_x
_atom_site_fract_y
_atom_site_fract_z
_atom_site_occupancy
Mo1 Mo 0.500 0.500 0.750 1
Y1 Y 0.500 0.500 0.250 1
Sc1 Sc 0.000 0.000 0.942 1
Sc2 Sc 0.000 0.000 0.558 1
```

Total energy, eV per cell: -29.38
Calculated formation energy, meV/atom: 143
Crystal system: tetragonal
Magnetization, μB/f.u.: 0.00



Record 2
Computed, not measured: a relaxed Cr2NiPb crystal at the PBE-GGA level of DFT.

Cell and atoms, written as CIF:
```
data_Cr2NiPb
_space_group_name_H-M_alt 'P 1'
_space_group_IT_number 1
_cell_length_a 8.252
_cell_length_b 8.252
_cell_length_c 8.252
_cell_angle_alpha 21.32
_cell_angle_beta 21.32
_cell_angle_gamma 21.32
loop_
_space_group_symop_operation_xyz
'x,y,z'
loop_
_atom_site_label
_atom_site_type_symbol
_atom_site_fract_x
_atom_site_fract_y
_atom_site_fract_z
_atom_site_occupancy
Pb1 Pb 0.754 0.754 0.754 1
Cr1 Cr 0.983 0.983 0.983 1
Cr2 Cr 0.251 0.251 0.251 1
Ni1 Ni 0.512 0.512 0.512 1
```

Total energy, eV per cell: -26.30
Calculated formation energy, meV/atom: 610
Crystal system: trigonal
Magnetization, μB/f.u.: 0.33